# 1
DFT (PBE) results for an optimized crystal structure of LiTeF2.

abc: 5.3301 5.3301 8.3761
angles: 90.00 90.00 90.00
Last column: nearest neighbours and their distance in Å.
Sites, in units of the cell vectors:
Li1 0.0000 0.0000 0.0000  4 F 1.82
Li2 0.0000 0.5000 0.2500  4 F 1.82
Li3 0.5000 0.0000 0.7500  4 F 1.82
Li4 0.5000 0.5000 0.5000  4 F 1.82
Te1 0.0000 0.0000 0.5000  4 F 2.63
Te2 0.0000 0.5000 0.7500  4 F 2.63
Te3 0.5000 0.0000 0.2500  4 F 2.63
Te4 0.5000 0.5000 0.0000  4 F 2.63
F1 0.1230 0.2500 0.1250  2 Li 1.82
F2 0.2500 0.6230 0.3750  2 Li 1.82
F3 0.2500 0.8770 0.8750  2 Li 1.82
F4 0.3770 0.2500 0.6250  2 Li 1.82
F5 0.6230 0.7500 0.6250  2 Li 1.82
F6 0.7500 0.1230 0.8750  2 Li 1.82
F7 0.7500 0.3770 0.3750  2 Li 1.82
F8 0.8770 0.7500 0.1250  2 Li 1.82

Output
VASP energy in eV/cell: -62.76
Formation energy without anion corrections in eV per formula unit: -6.89
Excess energy over the best structure of this formula in the dataset in kJ/mol of atoms: 18.0

=====

# 2
DFT (PBE) results for an optimized crystal structure of LiTe3F.

abc: 4.9982 4.9982 4.9982
angles: 90.00 90.00 90.00
Last column: nearest neighbours and their distance in Å.
Sites, in units of the cell vectors:
Li1 0.0000 0.0000 0.0000  12 Te 3.53
Te1 0.0000 0.5000 0.5000  2 F 2.50
Te2 0.5000 0.0000 0.5000  2 F 2.50
Te3 0.5000 0.5000 0.0000  2 F 2.50
F1 0.5000 0.5000 0.5000  6 Te 2.50

Output
VASP energy in eV/cell: -14.47
Formation energy without anion corrections in eV per formula unit: -1.26
Excess energy over the best structure of this formula in the dataset in kJ/mol of atoms: 0.0

=====

# 3
DFT (PBE) results for an optimized crystal structure of LiTlTeF6.

abc: 5.7754 5.7824 5.8193
angles: 90.02 90.07 119.83
Last column: nearest neighbours and their distance in Å.
Sites, in units of the cell vectors:
Li1 0.0000 0.0000 0.0000  3 F 1.95
Tl1 0.6685 0.3335 0.4578  6 F 2.72-2.95
Te1 0.3344 0.6674 0.9909  6 F 1.99-2.20
F1 0.0866 0.7057 0.7753  1 Te 2.00
F2 0.2984 0.3841 0.7743  1 Te 1.99
F3 0.3101 0.0046 0.1389  1 Li 1.95
F4 0.6195 0.9152 0.7764  1 Te 1.99
F5 0.6961 0.6921 0.1400  1 Li 1.95
F6 0.9976 0.3061 0.1378  1 Li 1.95

Output
VASP energy in eV/cell: -38.96
Formation energy without anion corrections in eV per formula unit: -20.31

=====

# 4
DFT (PBE) results for an optimized crystal structure of LiYTe2F.

abc: 4.8096 4.8096 5.2844
angles: 90.00 90.00 90.00
Last column: nearest neighbours and their distance in Å.
Sites, in units of the cell vectors:
Li1 0.0000 0.0000 0.0000  4 Te 2.40, 2 Y 2.64
Y1 0.0000 0.0000 0.5000  2 Li 2.64
Te1 0.0000 0.5000 0.0000  2 Li 2.40
Te2 0.5000 0.0000 0.0000  2 Li 2.40
F1 0.5000 0.5000 0.5000  4 Y 3.40, 8 Te 3.57

Output
VASP energy in eV/cell: -19.58
Formation energy without anion corrections in eV per formula unit: -3.05

=====

# 5
DFT (PBE) results for an optimized crystal structure of Li2ThF6.

abc: 6.9703 6.9703 5.7836
angles: 107.62 107.62 74.16
Last column: nearest neighbours and their distance in Å.
Sites, in units of the cell vectors:
Li1 0.1518 0.2357 0.2082  4 F 1.87-1.95
Li2 0.2357 0.1518 0.7082  4 F 1.87-1.95
Li3 0.7643 0.8482 0.2918  4 F 1.87-1.95
Li4 0.8482 0.7643 0.7918  4 F 1.87-1.95
Th1 0.3225 0.6775 0.7500  6 F 2.22-2.42
Th2 0.6775 0.3225 0.2500  6 F 2.22-2.42
F1 0.0209 0.2710 0.4760  2 Li 1.88-1.95
F2 0.1140 0.6800 0.9756  1 Li 1.87
F3 0.2710 0.0209 0.9760  2 Li 1.88-1.95
F4 0.3200 0.8860 0.5244  1 Li 1.87
F5 0.3402 0.4178 0.3655  1 Li 1.91
F6 0.4178 0.3402 0.8655  1 Li 1.91
F7 0.5822 0.6598 0.1345  1 Li 1.91
F8 0.6598 0.5822 0.6345  1 Li 1.91
F9 0.6800 0.1140 0.4756  1 Li 1.87
F10 0.7290 0.9791 0.0240  2 Li 1.88-1.95
F11 0.8860 0.3200 0.0244  1 Li 1.87
F12 0.9791 0.7290 0.5240  2 Li 1.88-1.95

Output
VASP energy in eV/cell: -109.17
Formation energy without anion corrections in eV per formula unit: -32.11

=====

# 6
DFT (PBE) results for an optimized crystal structure of LiThF6.

abc: 5.9976 5.9976 5.9976
angles: 60.00 60.00 60.00
Last column: nearest neighbours and their distance in Å.
Sites, in units of the cell vectors:
Li1 0.0000 0.0000 0.0000  6 F 2.03
Th1 0.5000 0.5000 0.5000  6 F 2.21
F1 0.2390 0.2390 0.7610  1 Li 2.03, 1 Th 2.21
F2 0.2390 0.7610 0.2390  1 Li 2.03, 1 Th 2.21
F3 0.2390 0.7610 0.7610  1 Li 2.03, 1 Th 2.21
F4 0.7610 0.2390 0.2390  1 Li 2.03, 1 Th 2.21
F5 0.7610 0.2390 0.7610  1 Li 2.03, 1 Th 2.21
F6 0.7610 0.7610 0.2390  1 Li 2.03, 1 Th 2.21

Output
VASP energy in eV/cell: -46.06
Formation energy without anion corrections in eV per formula unit: -25.50

=====

# 7
DFT (PBE) results for an optimized crystal structure of Li3TiF8.

abc: 4.9553 4.9553 4.9553
angles: 90.00 90.00 90.00
Last column: nearest neighbours and their distance in Å.
Sites, in units of the cell vectors:
Li1 0.0000 0.0000 0.5000  8 F 2.19
Li2 0.0000 0.5000 0.0000  8 F 2.19
Li3 0.5000 0.0000 0.0000  8 F 2.19
Ti1 0.5000 0.5000 0.5000  8 F 2.03
F1 0.2640 0.2640 0.2640  1 Ti 2.03, 3 Li 2.19
F2 0.2640 0.2640 0.7360  1 Ti 2.03, 3 Li 2.19
F3 0.2640 0.7360 0.2640  1 Ti 2.03, 3 Li 2.19
F4 0.2640 0.7360 0.7360  1 Ti 2.03, 3 Li 2.19
F5 0.7360 0.2640 0.2640  1 Ti 2.03, 3 Li 2.19
F6 0.7360 0.2640 0.7360  1 Ti 2.03, 3 Li 2.19
F7 0.7360 0.7360 0.2640  1 Ti 2.03, 3 Li 2.19
F8 0.7360 0.7360 0.7360  1 Ti 2.03, 3 Li 2.19

Output
VASP energy in eV/cell: -61.38
Formation energy without anion corrections in eV per formula unit: -32.77

=====

# 8
DFT (PBE) results for an optimized crystal structure of LiTiF2.

abc: 4.8452 4.8452 8.9687
angles: 90.00 90.00 90.00
Last column: nearest neighbours and their distance in Å.
Sites, in units of the cell vectors:
Li1 0.0000 0.0000 0.0000  4 F 1.90
Li2 0.0000 0.5000 0.2500  4 F 1.90
Li3 0.5000 0.0000 0.7500  4 F 1.90
Li4 0.5000 0.5000 0.5000  4 F 1.90
Ti1 0.0000 0.0000 0.5000  4 F 2.22
Ti2 0.0000 0.5000 0.7500  4 F 2.22
Ti3 0.5000 0.0000 0.2500  4 F 2.22
Ti4 0.5000 0.5000 0.0000  4 F 2.22
F1 0.1944 0.2500 0.1250  2 Li 1.90
F2 0.2500 0.6944 0.3750  2 Li 1.90
F3 0.2500 0.8056 0.8750  2 Li 1.90
F4 0.3056 0.2500 0.6250  2 Li 1.90
F5 0.6944 0.7500 0.6250  2 Li 1.90
F6 0.7500 0.1944 0.8750  2 Li 1.90
F7 0.7500 0.3056 0.3750  2 Li 1.90
F8 0.8056 0.7500 0.1250  2 Li 1.90

Output
VASP energy in eV/cell: -86.08
Formation energy without anion corrections in eV per formula unit: -7.97
Excess energy over the best structure of this formula in the dataset in kJ/mol of atoms: 38.5